Entry 1:
## Sc2Pd (PBE)

Data for a geometry-optimized Sc2Pd structure.

Cell and atoms, written as extended XYZ:
```
24
Lattice="-0.334 7.482 -4.666 1.662 -0.126 -8.665 -6.547 1.314 -5.768" Properties=species:S:1:pos:R:3 pbc="T T T"
Pd -1.538 3.506 -10.954
Sc 0.011 4.761 -9.053
Sc -0.468 3.325 -2.978
Sc -2.142 1.009 -6.571
Pd -4.386 7.284 -16.048
Sc -0.121 6.244 -11.940
Sc 0.090 1.515 -8.990
Sc -2.877 3.809 -5.100
Sc -4.048 2.345 -12.636
Sc -1.171 6.324 -6.463
Sc -2.754 1.056 -3.383
Pd -2.022 6.810 -13.966
Sc -4.093 5.481 -7.604
Sc 0.144 3.279 -6.166
Sc -3.262 5.418 -11.937
Pd -2.139 3.552 -7.825
Pd -4.265 4.583 -14.363
Pd -2.259 6.253 -9.510
Sc -5.099 2.425 -7.159
Pd -4.503 4.026 -9.908
Sc 0.267 0.526 -4.449
Sc -5.310 7.154 -10.109
Pd -4.986 7.330 -12.920
Sc -3.095 1.677 -9.604
```

Output
The calculated formation energy comes out at -0.66 eV/atom. As for the spin magnetization: 0.00 μB/f.u. As for the space group: Fd-3m (227).

Entry 2:
## ScPd (PBE)

Data for a geometry-optimized ScPd structure.

Cell and atoms, written as extended XYZ:
```
12
Lattice="7.519 0.000 0.000 -3.760 6.512 0.000 0.000 0.000 5.064" Properties=species:S:1:pos:R:3 pbc="T T T"
Sc 5.399 0.627 1.266
Pd 4.503 0.762 3.798
Pd -0.743 5.750 1.266
Sc 1.603 1.523 1.266
Pd 2.168 2.231 3.798
Pd -0.848 2.994 1.266
Sc 2.156 4.989 3.798
Pd 1.591 4.280 1.266
Sc -0.517 2.150 3.798
Sc 4.277 4.362 1.266
Pd 4.608 3.518 3.798
Sc -1.639 5.885 3.798
```

Output
The calculated formation energy comes out at -0.62 eV/atom. As for the spin magnetization: 0.00 μB/f.u. As for the space group: P6_3/m (176).

Entry 3:
## ScPd (PBE)

Data for a geometry-optimized ScPd structure.

Cell and atoms, written as extended XYZ:
```
32
Lattice="-8.483 5.898 2.259 1.348 -1.170 8.119 4.117 5.860 0.161" Properties=species:S:1:pos:R:3 pbc="T T T"
Pd 1.257 1.789 0.049
Sc 3.009 2.105 5.805
Pd -2.311 4.153 5.238
Pd -3.739 7.385 3.814
Pd 1.476 0.556 4.091
Pd -0.926 7.668 1.259
Sc -1.111 4.948 7.664
Pd -5.123 3.870 7.792
Sc -3.291 2.124 6.854
Pd 1.177 3.851 6.743
Sc -1.987 7.700 9.569
Sc 1.072 -0.930 6.454
Pd 3.989 4.134 4.189
Pd -3.440 4.090 1.161
Sc -5.273 5.836 2.099
Sc -4.720 5.356 5.429
Sc 0.196 1.822 8.359
Sc 1.027 5.817 1.050
Pd -3.521 6.151 7.855
Pd 2.860 4.070 0.112
Sc 0.277 -0.240 1.665
Sc 1.580 5.337 4.380
Pd -0.708 6.434 5.301
Sc -0.357 2.302 5.029
Sc -3.844 2.604 3.524
Pd 0.047 3.787 2.666
Pd -1.556 1.506 2.603
Sc 2.456 2.585 2.475
Sc -2.540 8.180 6.239
Pd -2.137 9.666 3.876
Sc -1.907 5.639 2.875
Pd 2.779 6.132 6.806
```

Output
The calculated formation energy comes out at -0.69 eV/atom. As for the spin magnetization: 0.00 μB/f.u. As for the space group: Fddd (70).

Entry 4:
## ScPd (PBE)

Data for a geometry-optimized ScPd structure.

Cell and atoms, written as extended XYZ:
```
16
Lattice="-10.077 1.135 1.002 -1.511 -7.982 -6.153 0.032 -1.987 2.569" Properties=species:S:1:pos:R:3 pbc="T T T"
Pd -7.468 -2.619 -1.933
Sc -3.633 -1.685 0.795
Pd -1.013 -2.324 0.268
Sc -2.146 -2.731 -2.085
Pd -4.120 -4.227 -3.217
Pd -4.765 -2.092 -1.559
Pd -8.387 -0.662 1.645
Sc -9.214 -2.740 0.049
Sc -2.342 -6.094 -2.630
Sc -7.924 -7.148 -3.376
Pd -10.544 -6.509 -2.849
Sc -6.641 -0.542 -0.337
Pd -6.823 -4.754 -3.591
Sc -9.443 -4.115 -3.065
Pd -3.169 -8.171 -4.226
Sc -4.947 -6.305 -4.813
```

Output
The calculated formation energy comes out at -0.44 eV/atom. As for the spin magnetization: 0.00 μB/f.u. As for the space group: I4/m (87).

Entry 5:
## ScPd (PBE)

Data for a geometry-optimized ScPd structure.

Cell and atoms, written as extended XYZ:
```
4
Lattice="-2.254 -3.948 0.512 3.717 0.857 2.527 -3.098 2.261 3.791" Properties=species:S:1:pos:R:3 pbc="T T T"
Pd -1.038 -1.782 2.132
Sc -2.587 -0.651 4.027
Sc 0.952 -0.180 2.803
Pd -0.597 0.950 4.698
```

Output
The calculated formation energy comes out at -0.34 eV/atom. As for the spin magnetization: 0.00 μB/f.u. As for the space group: P6_3/mmc (194).

Entry 6:
## Sc2PdSe (PBE)

Data for a geometry-optimized Sc2PdSe structure.

Cell and atoms, written as extended XYZ:
```
8
Lattice="7.015 0.000 0.000 0.000 7.015 0.000 3.508 3.508 3.577" Properties=species:S:1:pos:R:3 pbc="T T T"
Sc 5.262 5.231 2.683
Se 3.508 3.508 0.000
Se 3.508 7.015 1.789
Sc 8.769 8.800 2.683
Pd 0.000 0.000 0.000
Pd 7.015 3.508 1.789
Sc 1.723 5.262 0.894
Sc 5.292 1.754 0.894
```

Output
The calculation puts the formation energy without anion corrections at -3.25 eV/f.u. As for the spin magnetization: 0.00 μB/f.u. As for the space group: I-42d (122).